The following is a DFT calculation (PBE) of HfNbAs after structural relaxation.

space-group type	F-43m, No. 216
final energy	-25.3	eV/cell

abc: 4.407 4.407 4.407
angles: 60.00 60.00 60.00
Atoms (fractional coordinates):
Hf1 0.000 0.000 0.000
Nb1 0.500 0.500 0.500
As1 0.250 0.250 0.250

---

The following is a DFT calculation (PBE) of ErScRe after structural relaxation.

calculated formation energy	936.4	meV per atom
space-group type	F-43m, No. 216
final energy	-20.5	eV/cell

abc: 4.599 4.599 4.599
angles: 60.00 60.00 60.00
Atoms (fractional coordinates):
Er1 0.000 0.000 0.000
Sc1 0.250 0.250 0.250
Re1 0.500 0.500 0.500

---

The following is a DFT calculation (PBE) of RbBeFeAs2 after structural relaxation.

space-group type	I-4m2, No. 119
final energy	-23.4	eV/cell

abc: 8.134 8.134 8.134
angles: 153.75 153.75 37.46
Atoms (fractional coordinates):
Rb1 0.000 0.000 0.000
Be1 0.750 0.250 0.500
Fe1 0.250 0.750 0.500
As1 0.347 0.347 0.000
As2 0.653 0.653 0.000

---

The following is a DFT calculation (PBE) of LaAsAuO after structural relaxation.

space-group type	Pmc2_1, No. 26
final energy	-46.8	eV/cell

abc: 5.115 4.300 7.296
angles: 90.00 90.00 90.00
Atoms (fractional coordinates):
La1 0.000 0.247 0.000
La2 0.000 0.753 0.500
As1 0.500 0.244 0.676
As2 0.500 0.756 0.176
Au1 0.500 0.257 0.339
Au2 0.500 0.743 0.839
O1 0.000 0.255 0.335
O2 0.000 0.745 0.835

---

The following is a DFT calculation (PBE) of LuPdAu after structural relaxation.

calculated formation energy	-526.0	meV per atom
space-group type	F-43m, No. 216
ΔE to the lowest computed polymorph	194	meV/atom
final energy	-14.5	eV/cell

abc: 4.604 4.604 4.604
angles: 60.00 60.00 60.00
Atoms (fractional coordinates):
Lu1 0.000 0.000 0.000
Pd1 0.250 0.250 0.250
Au1 0.750 0.750 0.750

---

The following is a DFT calculation (PBE) of Y2ErFe8Co after structural relaxation.

calculated formation energy	-98.5	meV per atom
space-group type	R-3m, No. 166
final energy	-92.3	eV/cell

abc: 8.583 8.583 8.583
angles: 34.24 34.24 34.24
Atoms (fractional coordinates):
Y1 0.142 0.142 0.142
Y2 0.858 0.858 0.858
Er1 0.000 0.000 0.000
Fe1 0.082 0.581 0.581
Fe2 0.333 0.333 0.333
Fe3 0.419 0.419 0.918
Fe4 0.419 0.918 0.419
Fe5 0.581 0.082 0.581
Fe6 0.581 0.581 0.082
Fe7 0.667 0.667 0.667
Fe8 0.918 0.419 0.419
Co1 0.500 0.500 0.500

---

The following is a DFT calculation (PBE) of In2Fe3Se2 after structural relaxation.

space-group type	R-3m, No. 166
final energy	-38.3	eV/cell

abc: 5.803 5.803 5.803
angles: 55.54 55.54 55.54
Atoms (fractional coordinates):
In1 0.000 0.000 0.000
In2 0.500 0.500 0.500
Fe1 0.000 0.500 0.500
Fe2 0.500 0.000 0.500
Fe3 0.500 0.500 0.000
Se1 0.214 0.214 0.214
Se2 0.786 0.786 0.786

---

The following is a DFT calculation (PBE) of RbGdCdSe3 after structural relaxation.

space-group type	Pnma, No. 62
final energy	-100.2	eV/cell

abc: 15.613 4.300 11.418
angles: 90.00 90.00 90.00
Atoms (fractional coordinates):
Rb1 0.239 0.250 0.046
Rb2 0.261 0.750 0.546
Rb3 0.739 0.250 0.454
Rb4 0.761 0.750 0.954
Gd1 0.024 0.250 0.351
Gd2 0.476 0.750 0.851
Gd3 0.524 0.250 0.149
Gd4 0.976 0.750 0.649
Cd1 0.017 0.750 0.102
Cd2 0.483 0.250 0.602
Cd3 0.517 0.750 0.398
Cd4 0.983 0.250 0.898
Se1 0.087 0.750 0.877
Se2 0.090 0.250 0.581
Se3 0.137 0.750 0.264
Se4 0.363 0.250 0.764
Se5 0.410 0.750 0.081
Se6 0.413 0.250 0.377
Se7 0.587 0.750 0.623
Se8 0.590 0.250 0.919
Se9 0.637 0.750 0.236
Se10 0.863 0.250 0.736
Se11 0.910 0.750 0.419
Se12 0.913 0.250 0.123

---

The following is a DFT calculation (PBE) of HfMgCuBi after structural relaxation.

space-group type	F-43m, No. 216
ΔE to the lowest computed polymorph	8	meV/atom
final energy	-17.8	eV/cell

abc: 4.957 4.957 4.957
angles: 60.00 60.00 60.00
Atoms (fractional coordinates):
Hf1 0.000 0.000 0.000
Mg1 0.750 0.750 0.750
Cu1 0.500 0.500 0.500
Bi1 0.250 0.250 0.250

---

The following is a DFT calculation (PBE) of Cu15As after structural relaxation.

space-group type	P2_1/m, No. 11
ΔE to the lowest computed polymorph	41	meV/atom
final energy	-118.5	eV/cell

abc: 7.137 2.573 32.978
angles: 90.00 90.01 90.00
Atoms (fractional coordinates):
Cu1 0.125 0.250 0.058
Cu2 0.125 0.250 0.137
Cu3 0.125 0.250 0.215
Cu4 0.125 0.250 0.291
Cu5 0.125 0.250 0.824
Cu6 0.125 0.250 0.902
Cu7 0.125 0.250 0.980
Cu8 0.126 0.250 0.745
Cu9 0.375 0.750 0.019
Cu10 0.375 0.750 0.098
Cu11 0.375 0.750 0.176
Cu12 0.375 0.750 0.255
Cu13 0.375 0.750 0.785
Cu14 0.375 0.750 0.863
Cu15 0.375 0.750 0.941
Cu16 0.625 0.250 0.059
Cu17 0.625 0.250 0.137
Cu18 0.625 0.250 0.215
Cu19 0.625 0.250 0.745
Cu20 0.625 0.250 0.824
Cu21 0.625 0.250 0.902
Cu22 0.625 0.250 0.981
Cu23 0.874 0.750 0.255
Cu24 0.875 0.750 0.020
Cu25 0.875 0.750 0.098
Cu26 0.875 0.750 0.176
Cu27 0.875 0.750 0.709
Cu28 0.875 0.750 0.785
Cu29 0.875 0.750 0.863
Cu30 0.875 0.750 0.942
As1 0.376 0.750 0.704
As2 0.624 0.250 0.296

---

The following is a DFT calculation (PBE) of NbZnFeRe after structural relaxation.

calculated formation energy	152.0	meV per atom
space-group type	F-43m, No. 216
ΔE to the lowest computed polymorph	0	meV/atom
final energy	-31.5	eV/cell

abc: 4.352 4.352 4.352
angles: 60.00 60.00 60.00
Atoms (fractional coordinates):
Nb1 0.000 0.000 0.000
Zn1 0.500 0.500 0.500
Fe1 0.750 0.750 0.750
Re1 0.250 0.250 0.250

---

The following is a DFT calculation (PBE) of Cs2PrSe4 after structural relaxation.

space-group type	C2/m, No. 12
final energy	-55.9	eV/cell

abc: 8.587 8.587 11.382
angles: 117.32 117.32 50.60
Atoms (fractional coordinates):
Cs1 0.094 0.094 0.410
Cs2 0.343 0.343 0.230
Cs3 0.657 0.657 0.770
Cs4 0.906 0.906 0.590
Pr1 0.372 0.372 0.821
Pr2 0.628 0.628 0.179
Se1 0.164 0.730 0.047
Se2 0.179 0.179 0.782
Se3 0.270 0.836 0.953
Se4 0.367 0.367 0.573
Se5 0.633 0.633 0.427
Se6 0.730 0.164 0.047
Se7 0.821 0.821 0.218
Se8 0.836 0.270 0.953

---

- Among the records above, which one has the lowest final energy?
  Cu15As

---

What did the seventh record say?
The following is a DFT calculation (PBE) of In2Fe3Se2 after structural relaxation.

space-group type	R-3m, No. 166
final energy	-38.3	eV/cell

abc: 5.803 5.803 5.803
angles: 55.54 55.54 55.54
Atoms (fractional coordinates):
In1 0.000 0.000 0.000
In2 0.500 0.500 0.500
Fe1 0.000 0.500 0.500
Fe2 0.500 0.000 0.500
Fe3 0.500 0.500 0.000
Se1 0.214 0.214 0.214
Se2 0.786 0.786 0.786

---

- The highest final energy belongs to which entry?
  LuPdAu

---

- Look up the final energy of the eighth one.
  -100.2 eV/cell